A plane-wave DFT calculation with PBE-GGA was carried out for NaPrPd2 after structural relaxation.

```
data_NaPrPd2
_chemical_formula_sum 'Na1 Pr1 Pd2'
_symmetry_space_group_name_H-M 'P 4/m m m'
_symmetry_Int_Tables_number 123
_symmetry_space_group_name_Hall '-P 4 2'
_cell_length_a 3.699
_cell_length_b 3.699
_cell_length_c 6.341
_cell_angle_alpha 90.00
_cell_angle_beta 90.00
_cell_angle_gamma 90.00
loop_
_atom_site_label
_atom_site_type_symbol
_atom_site_fract_x
_atom_site_fract_y
_atom_site_fract_z
_atom_site_occupancy
Na1 Na 0.000 0.000 0.000 1
Pr1 Pr 0.000 0.000 0.500 1
Pd1 Pd 0.500 0.500 0.248 1
```

Properties
Energy relative to the elements, eV per atom: -0.438
Crystal system: tetragonal
Uncorrected energy, eV per atom: -4.559


A plane-wave DFT calculation with PBE-GGA was carried out for NaPr2Pd9 after structural relaxation.

```
data_NaPr2Pd9
_chemical_formula_sum 'Na1 Pr2 Pd9'
_symmetry_space_group_name_H-M 'P 4/m m m'
_symmetry_Int_Tables_number 123
_symmetry_space_group_name_Hall '-P 4 2'
_cell_length_a 4.216
_cell_length_b 4.216
_cell_length_c 12.183
_cell_angle_alpha 90.00
_cell_angle_beta 90.00
_cell_angle_gamma 90.00
loop_
_atom_site_label
_atom_site_type_symbol
_atom_site_fract_x
_atom_site_fract_y
_atom_site_fract_z
_atom_site_occupancy
Na1 Na 0.000 0.000 0.000 1
Pr1 Pr 0.000 0.000 0.325 1
Pd1 Pd 0.000 0.500 0.157 1
Pd2 Pd 0.000 0.500 0.500 1
Pd3 Pd 0.500 0.500 0.000 1
Pd4 Pd 0.500 0.500 0.328 1
```

Properties
Energy relative to the elements, eV per atom: -0.490
Crystal system: tetragonal
Uncorrected energy, eV per atom: -5.291


A plane-wave DFT calculation with PBE-GGA was carried out for NaPrPd2 after structural relaxation.

```
data_NaPrPd2
_chemical_formula_sum 'Na4 Pr4 Pd8'
_symmetry_space_group_name_H-M 'F m -3 m'
_symmetry_Int_Tables_number 225
_symmetry_space_group_name_Hall '-F 4 2 3'
_cell_length_a 7.054
_cell_length_b 7.054
_cell_length_c 7.054
_cell_angle_alpha 90.00
_cell_angle_beta 90.00
_cell_angle_gamma 90.00
loop_
_atom_site_label
_atom_site_type_symbol
_atom_site_fract_x
_atom_site_fract_y
_atom_site_fract_z
_atom_site_occupancy
Na1 Na 0.000 0.000 0.000 1
Pr1 Pr 0.000 0.000 0.500 1
Pd1 Pd 0.250 0.250 0.250 1
```

Properties
Energy relative to the elements, eV per atom: -0.428
Crystal system: cubic
Uncorrected energy, eV per atom: -4.549


A plane-wave DFT calculation with PBE-GGA was carried out for NaPrPd4 after structural relaxation.

```
data_NaPrPd4
_chemical_formula_sum 'Na4 Pr4 Pd16'
_symmetry_space_group_name_H-M 'F -4 3 m'
_symmetry_Int_Tables_number 216
_symmetry_space_group_name_Hall 'F -4 2 3'
_cell_length_a 7.720
_cell_length_b 7.720
_cell_length_c 7.720
_cell_angle_alpha 90.00
_cell_angle_beta 90.00
_cell_angle_gamma 90.00
loop_
_atom_site_label
_atom_site_type_symbol
_atom_site_fract_x
_atom_site_fract_y
_atom_site_fract_z
_atom_site_occupancy
Na1 Na 0.000 0.000 0.000 1
Pr1 Pr 0.250 0.250 0.750 1
Pd1 Pd 0.125 0.125 0.375 1
```

Properties
Energy relative to the elements, eV per atom: -0.559
Crystal system: cubic
Uncorrected energy, eV per atom: -5.037


A plane-wave DFT calculation with PBE-GGA was carried out for NaPr3Pd8 after structural relaxation.

```
data_NaPr3Pd8
_chemical_formula_sum 'Na3 Pr9 Pd24'
_symmetry_space_group_name_H-M 'R 3 m'
_symmetry_Int_Tables_number 160
_symmetry_space_group_name_Hall 'R 3 -2"'
_cell_length_a 5.5123
_cell_length_b 5.5123
_cell_length_c 27.0039
_cell_angle_alpha 90.00
_cell_angle_beta 90.00
_cell_angle_gamma 120.00
loop_
_atom_site_label
_atom_site_type_symbol
_atom_site_fract_x
_atom_site_fract_y
_atom_site_fract_z
_atom_site_occupancy
Na1 Na 0.0000 0.0000 0.0000 1
Pr1 Pr 0.0000 0.0000 0.1214 1
Pr2 Pr 0.0000 0.0000 0.5065 1
Pr3 Pr 0.0000 0.0000 0.6354 1
Pd1 Pd 0.0000 0.0000 0.3165 1
Pd2 Pd 0.0000 0.0000 0.8164 1
Pd3 Pd 0.0029 0.5014 0.0671 1
Pd4 Pd 0.1675 0.3351 0.8990 1
```

Properties
Energy relative to the elements, eV per atom: -0.663
Crystal system: trigonal
Uncorrected energy, eV per atom: -5.430


A plane-wave DFT calculation with PBE-GGA was carried out for Na3PrPd8 after structural relaxation.

```
data_Na3PrPd8
_chemical_formula_sum 'Na9 Pr3 Pd24'
_symmetry_space_group_name_H-M 'R 3 m'
_symmetry_Int_Tables_number 160
_symmetry_space_group_name_Hall 'R 3 -2"'
_cell_length_a 5.4316
_cell_length_b 5.4316
_cell_length_c 26.5927
_cell_angle_alpha 90.00
_cell_angle_beta 90.00
_cell_angle_gamma 120.00
loop_
_atom_site_label
_atom_site_type_symbol
_atom_site_fract_x
_atom_site_fract_y
_atom_site_fract_z
_atom_site_occupancy
Na1 Na 0.0000 0.0000 0.0000 1
Na2 Na 0.0000 0.0000 0.1189 1
Na3 Na 0.0000 0.0000 0.6317 1
Pr1 Pr 0.0000 0.0000 0.5017 1
Pd1 Pd 0.0000 0.0000 0.3137 1
Pd2 Pd 0.0000 0.0000 0.8134 1
Pd3 Pd 0.0017 0.5009 0.0644 1
Pd4 Pd 0.1673 0.3346 0.8964 1
```

Properties
Energy relative to the elements, eV per atom: -0.383
Crystal system: trigonal
Uncorrected energy, eV per atom: -4.573